Arrangement i

Li2InP | meta-GGA SCAN | single point on PBEsol structure

Cell lengths 3.0522, 4.1228, 12.0642 Å; angles 90.00, 90.00, 90.00 degrees
Last column: nearest neighbours and their distance in Å.
Space group Imm2 (No. 44)
One atom of each set of equivalent atoms:
Li 0.0000 0.0000 0.0000 (multiplicity 2)  2 P 2.55
Li 0.0000 0.5000 0.1735 (multiplicity 2)  4 P 2.57
In 0.0000 0.0000 0.3575 (multiplicity 2)  2 P 2.73, 2 Li 3.03, 2 In 3.05
P 0.0000 0.5000 0.6698 (multiplicity 2)  6 Li 2.55-2.57, 2 In 2.73

Values from the calculation:
* D(E_F): 0.25 states/eV per atom


Arrangement ii

Li2InP | meta-GGA SCAN | single point on PBEsol structure

Cell lengths 2.8662, 3.8322, 5.8857 Å; angles 90.00, 90.00, 90.00 degrees
Last column: nearest neighbours and their distance in Å.
Space group Pmmm (No. 47)
One atom of each set of equivalent atoms:
Li 0.0000 0.0000 0.2059 (multiplicity 2)  1 Li 2.42, 4 P 2.68
In 0.5000 0.5000 0.5000 (multiplicity 1)  2 In 2.87, 2 P 2.94, 8 Li 2.95
P 0.5000 0.5000 0.0000 (multiplicity 1)  8 Li 2.68, 2 P 2.87, 2 In 2.94

Values from the calculation:
* D(E_F): 0.21 states/eV per atom


Arrangement iii

Li2InP | meta-GGA SCAN | single point on PBEsol structure

Cell lengths 5.7924, 8.0557, 2.8050 Å; angles 90.00, 90.00, 90.00 degrees
Last column: nearest neighbours and their distance in Å.
Space group Cmmm (No. 65)
One atom of each set of equivalent atoms:
Li 0.2500 0.2500 0.0000 (multiplicity 4)  4 Li 2.80-2.90, 4 In 2.85, 4 P 2.85
In 0.0000 0.0000 0.5000 (multiplicity 2)  2 In 2.80, 8 Li 2.85, 2 P 2.90
P 0.0000 0.5000 0.5000 (multiplicity 2)  2 P 2.80, 8 Li 2.85, 2 In 2.90

Values from the calculation:
* D(E_F): 0.40 states/eV per atom


Arrangement iv

Li2InP | meta-GGA SCAN | single point on PBEsol structure

Cell lengths 3.0276, 3.0276, 26.2552 Å; angles 90.00, 90.00, 120.00 degrees
Last column: nearest neighbours and their distance in Å.
Space group R-3m (No. 166, hexagonal axes)
One atom of each set of equivalent atoms:
Li 0.0000 0.0000 0.2368 (multiplicity 6)  3 P 2.54
In 0.0000 0.0000 0.0000 (multiplicity 3)  6 In 3.03, 6 Li 3.08
P 0.0000 0.0000 0.5000 (multiplicity 3)  6 Li 2.54

Values from the calculation:
* D(E_F): 0.29 states/eV per atom


In order of decreasing stability: arrangement ii, arrangement i, arrangement iii, arrangement iv.


Arrangement i

Li2InP | meta-GGA SCAN | single point on PBEsol structure

Cell lengths 3.9932, 4.2792, 7.9118 Å; angles 90.00, 90.00, 90.00 degrees
Last column: nearest neighbours and their distance in Å.
Space group Cmmm (No. 65)
One atom of each set of equivalent atoms:
Li 0.0000 0.0000 0.1970 (multiplicity 4)  4 P 2.53-2.65
In 0.0000 0.5000 0.5000 (multiplicity 2)  4 In 2.93, 8 Li 3.12-3.21
P 0.0000 0.5000 0.0000 (multiplicity 2)  8 Li 2.53-2.65

Values from the calculation:
* D(E_F): 0.28 states/eV per atom


Arrangement ii

Li2InP | meta-GGA SCAN | single point on PBEsol structure

Cell lengths 4.0212, 4.0212, 3.9912 Å; angles 90.00, 90.00, 90.00 degrees
Last column: nearest neighbours and their distance in Å.
Space group P4/mmm (No. 123)
One atom of each set of equivalent atoms:
Li 0.0000 0.5000 0.0000 (multiplicity 2)  4 P 2.83, 4 In 2.83, 4 Li 2.84
In 0.0000 0.0000 0.5000 (multiplicity 1)  8 Li 2.83, 4 P 2.84
P 0.5000 0.5000 0.5000 (multiplicity 1)  8 Li 2.83, 4 In 2.84

Values from the calculation:
* D(E_F): 0.22 states/eV per atom


In order of decreasing stability: arrangement ii, arrangement i.


Arrangement i

LiInP | meta-GGA SCAN | single point on PBEsol structure

Cell lengths 5.9899, 5.9899, 5.9899 Å; angles 90.00, 90.00, 90.00 degrees
Last column: nearest neighbours and their distance in Å.
Space group F-43m (No. 216)
One atom of each set of equivalent atoms:
Li 0.0000 0.0000 0.0000 (multiplicity 4)  4 In 2.59, 4 P 2.59
In 0.2500 0.2500 0.7500 (multiplicity 4)  4 Li 2.59
P 0.2500 0.2500 0.2500 (multiplicity 4)  4 Li 2.59

Values from the calculation:
* D(E_F): 0.32 states/eV per atom


Arrangement ii

LiInP | meta-GGA SCAN | single point on PBEsol structure

Cell lengths 4.0481, 4.0481, 8.7122 Å; angles 90.00, 90.00, 120.00 degrees
Last column: nearest neighbours and their distance in Å.
Space group P-3m1 (No. 164)
One atom of each set of equivalent atoms:
Li 0.3333 0.6667 0.0918 (multiplicity 2)  4 P 2.53-2.57, 3 Li 2.83
In 0.0000 0.0000 0.3407 (multiplicity 2)  3 P 2.62, 1 In 2.78
P 0.3333 0.6667 0.7963 (multiplicity 2)  4 Li 2.53-2.57, 3 In 2.62


In order of decreasing stability: arrangement ii, arrangement i.


Arrangement i

LiIn2Ru | meta-GGA SCAN | single point on PBEsol structure

Cell lengths 4.5373, 4.5373, 3.2143 Å; angles 90.00, 90.00, 90.00 degrees
Last column: nearest neighbours and their distance in Å.
Space group P4/mmm (No. 123)
One atom of each set of equivalent atoms:
Li 0.0000 0.0000 0.0000 (multiplicity 1)  8 In 2.78
In 0.0000 0.5000 0.5000 (multiplicity 2)  4 Li 2.78, 4 Ru 2.78
Ru 0.5000 0.5000 0.0000 (multiplicity 1)  8 In 2.78

Values from the calculation:
* D(E_F): 0.42 states/eV per atom


Arrangement ii

LiIn2Ru | meta-GGA SCAN | single point on PBEsol structure

Cell lengths 6.4290, 6.4290, 6.4290 Å; angles 90.00, 90.00, 90.00 degrees
Last column: nearest neighbours and their distance in Å.
Space group Fm-3m (No. 225)
One atom of each set of equivalent atoms:
Li 0.0000 0.0000 0.0000 (multiplicity 4)  8 In 2.78
In 0.2500 0.2500 0.2500 (multiplicity 8)  4 Ru 2.78, 4 Li 2.78
Ru 0.0000 0.0000 0.5000 (multiplicity 4)  8 In 2.78

Values from the calculation:
* D(E_F): 0.44 states/eV per atom


Arrangement iii

LiIn2Ru | meta-GGA SCAN | single point on PBEsol structure

Cell lengths 3.8571, 3.8571, 8.9793 Å; angles 90.00, 90.00, 90.00 degrees
Last column: nearest neighbours and their distance in Å.
Space group I-4m2 (No. 119)
One atom of each set of equivalent atoms:
Li 0.0000 0.0000 0.0000 (multiplicity 2)  8 In 2.73-2.96, 4 Ru 2.96
In 0.0000 0.0000 0.5000 (multiplicity 2)  4 Li 2.73, 4 In 2.96, 4 Ru 2.96
In 0.0000 0.5000 0.7500 (multiplicity 2)  4 Ru 2.73, 4 In 2.96, 4 Li 2.96
Ru 0.0000 0.5000 0.2500 (multiplicity 2)  8 In 2.73-2.96, 4 Li 2.96

Values from the calculation:
* D(E_F): 0.38 states/eV per atom


In order of decreasing stability: arrangement ii, arrangement i, arrangement iii.


Arrangement i

Li2InTe | meta-GGA SCAN | single point on PBEsol structure

Cell lengths 4.6059, 4.6059, 4.0700 Å; angles 90.00, 90.00, 90.00 degrees
Last column: nearest neighbours and their distance in Å.
Space group P4/mmm (No. 123)
One atom of each set of equivalent atoms:
Li 0.0000 0.5000 0.0000 (multiplicity 2)  4 In 3.07, 4 Te 3.07, 4 Li 3.26
In 0.0000 0.0000 0.5000 (multiplicity 1)  8 Li 3.07, 4 Te 3.26
Te 0.5000 0.5000 0.5000 (multiplicity 1)  8 Li 3.07, 4 In 3.26

Values from the calculation:
* D(E_F): 0.13 states/eV per atom


Arrangement ii

Li2InTe | meta-GGA SCAN | single point on PBEsol structure

Cell lengths 7.3275, 7.3275, 7.3275 Å; angles 90.00, 90.00, 90.00 degrees
Last column: nearest neighbours and their distance in Å.
Space group F-43m (No. 216)
One atom of each set of equivalent atoms:
Li 0.0000 0.0000 0.0000 (multiplicity 4)  4 Te 3.17, 4 Li 3.17
Li 0.2500 0.2500 0.2500 (multiplicity 4)  4 Li 3.17, 4 In 3.17
In 0.0000 0.0000 0.5000 (multiplicity 4)  4 Li 3.17, 4 Te 3.17
Te 0.2500 0.2500 0.7500 (multiplicity 4)  4 In 3.17, 4 Li 3.17

Values from the calculation:
* D(E_F): 0.37 states/eV per atom


Arrangement iii

Li2InTe | meta-GGA SCAN | single point on PBEsol structure

Cell lengths 7.0538, 7.0538, 7.0538 Å; angles 90.00, 90.00, 90.00 degrees
Last column: nearest neighbours and their distance in Å.
Space group Fm-3m (No. 225)
One atom of each set of equivalent atoms:
Li 0.2500 0.2500 0.2500 (multiplicity 8)  4 In 3.05, 4 Te 3.05
In 0.0000 0.0000 0.0000 (multiplicity 4)  8 Li 3.05
Te 0.0000 0.0000 0.5000 (multiplicity 4)  8 Li 3.05

Values from the calculation:
* D(E_F): 0.33 states/eV per atom


In order of decreasing stability: arrangement i, arrangement iii, arrangement ii.


Arrangement i

LiIn2W | meta-GGA SCAN | single point on PBEsol structure

Cell lengths 2.9512, 3.7450, 6.3547 Å; angles 90.00, 90.00, 90.00 degrees
Last column: nearest neighbours and their distance in Å.
Space group Pmmm (No. 47)
One atom of each set of equivalent atoms:
Li 0.0000 0.0000 0.0000 (multiplicity 1)  8 In 2.83, 2 Li 2.95
In 0.5000 0.5000 0.2401 (multiplicity 2)  4 Li 2.83, 4 W 2.90, 3 In 2.95-3.05
W 0.0000 0.0000 0.5000 (multiplicity 1)  8 In 2.90, 2 W 2.95, 2 Li 3.18

Values from the calculation:
* D(E_F): 0.49 states/eV per atom


Arrangement ii

LiIn2W | meta-GGA SCAN | single point on PBEsol structure

Cell lengths 3.0390, 5.0556, 9.2054 Å; angles 90.00, 90.00, 90.00 degrees
Last column: nearest neighbours and their distance in Å.
Space group Immm (No. 71)
One atom of each set of equivalent atoms:
Li 0.0000 0.0000 0.0000 (multiplicity 2)  4 In 2.64, 4 W 2.95
In 0.0000 0.5000 0.2660 (multiplicity 4)  2 Li 2.64, 2 W 2.88
W 0.0000 0.0000 0.5000 (multiplicity 2)  4 In 2.88, 4 Li 2.95, 2 W 3.04

Values from the calculation:
* D(E_F): 0.53 states/eV per atom


Arrangement iii

LiIn2W | meta-GGA SCAN | single point on PBEsol structure

Cell lengths 3.0016, 3.0016, 28.4573 Å; angles 90.00, 90.00, 120.00 degrees
Last column: nearest neighbours and their distance in Å.
Space group R-3m (No. 166, hexagonal axes)
One atom of each set of equivalent atoms:
Li 0.0000 0.0000 0.0000 (multiplicity 3)  6 In 2.93, 6 Li 3.00
In 0.0000 0.0000 0.2503 (multiplicity 6)  3 Li 2.93, 3 W 2.94, 6 In 3.00
W 0.0000 0.0000 0.5000 (multiplicity 3)  6 In 2.94, 6 W 3.00

Values from the calculation:
* D(E_F): 0.46 states/eV per atom


In order of decreasing stability: arrangement i, arrangement iii, arrangement ii.